Entry 1:
First-principles (PBE-GGA) data for a geometry-optimized Tb2Ho5Sb4 structure, as listed in the Alexandria database.

**ΔE_f (raw)**: -433 meV per atom
**Raw total energy**: -106.8 eV for the cell shown
**Total magnetic moment**: 0.002 μB/f.u.

Structure (CIF):
```
data_Tb2Ho5Sb4
_chemical_formula_sum 'Tb4 Ho10 Sb8'
_cell_length_a 25.8461
_cell_length_b 3.6184
_cell_length_c 7.2851
_cell_angle_alpha 90.00
_cell_angle_beta 91.31
_cell_angle_gamma 90.00
_symmetry_space_group_name_H-M 'C 1 2/m 1'
_symmetry_Int_Tables_number 12
_symmetry_space_group_name_Hall '-C 2y'
loop_
_atom_site_label
_atom_site_type_symbol
_atom_site_fract_x
_atom_site_fract_y
_atom_site_fract_z
_atom_site_occupancy
Tb1 Tb 0.2358 0.0000 0.2793 1
Ho1 Ho 0.0000 0.5000 0.5000 1
Ho2 Ho 0.0894 0.0000 0.1939 1
Ho3 Ho 0.1402 0.0000 0.6597 1
Sb1 Sb 0.0324 0.0000 0.8177 1
Sb2 Sb 0.1717 0.5000 0.9980 1
```

Entry 2:
First-principles (PBE-GGA) data for a geometry-optimized MgUNiRh structure, as listed in the Alexandria database.

**Raw total energy**: -107.7 eV for the cell shown
**E_form**: -21.9 kJ per mole of atoms
**Total magnetic moment**: 1.776 μB/f.u.

Structure (CIF):
```
data_MgUNiRh
_chemical_formula_sum 'Mg4 U4 Ni4 Rh4'
_cell_length_a 6.5408
_cell_length_b 6.5408
_cell_length_c 6.5408
_cell_angle_alpha 90.00
_cell_angle_beta 90.00
_cell_angle_gamma 90.00
_symmetry_space_group_name_H-M 'F -4 3 m'
_symmetry_Int_Tables_number 216
_symmetry_space_group_name_Hall 'F -4 2 3'
loop_
_atom_site_label
_atom_site_type_symbol
_atom_site_fract_x
_atom_site_fract_y
_atom_site_fract_z
_atom_site_occupancy
Mg1 Mg 0.0000 0.0000 0.0000 1
U1 U 0.0000 0.0000 0.5000 1
Ni1 Ni 0.2500 0.2500 0.7500 1
Rh1 Rh 0.2500 0.2500 0.2500 1
```

Entry 3:
First-principles (PBE-GGA) data for a geometry-optimized Ti2MoAuBr structure, as listed in the Alexandria database.

**ΔE_f (raw)**: 1094 meV per atom
**Raw total energy**: -26.1 eV for the cell shown
**Total magnetic moment**: 1.581 μB/f.u.

Structure (CIF):
```
data_Ti2MoAuBr
_chemical_formula_sum 'Ti2 Mo1 Au1 Br1'
_cell_length_a 4.6072
_cell_length_b 4.6072
_cell_length_c 4.8653
_cell_angle_alpha 90.00
_cell_angle_beta 90.00
_cell_angle_gamma 90.00
_symmetry_space_group_name_H-M 'P 4/m m m'
_symmetry_Int_Tables_number 123
_symmetry_space_group_name_Hall '-P 4 2'
loop_
_atom_site_label
_atom_site_type_symbol
_atom_site_fract_x
_atom_site_fract_y
_atom_site_fract_z
_atom_site_occupancy
Ti1 Ti 0.0000 0.5000 0.0000 1
Mo1 Mo 0.0000 0.0000 0.5000 1
Au1 Au 0.5000 0.5000 0.5000 1
Br1 Br 0.5000 0.5000 0.0000 1
```

Entry 4:
First-principles (PBE-GGA) data for a geometry-optimized YTm2Sn structure, as listed in the Alexandria database.

**Raw total energy**: -81.8 eV for the cell shown
**E_form**: -25.2 kJ per mole of atoms
**Relative energy among the computed polymorphs**: 0.167 eV per atom
**Total magnetic moment**: 0.000 μB/f.u.

Structure (CIF):
```
data_YTm2Sn
_chemical_formula_sum 'Y4 Tm8 Sn4'
_cell_length_a 5.4408
_cell_length_b 12.5571
_cell_length_c 6.7658
_cell_angle_alpha 90.00
_cell_angle_beta 90.00
_cell_angle_gamma 90.00
_symmetry_space_group_name_H-M 'C m c m'
_symmetry_Int_Tables_number 63
_symmetry_space_group_name_Hall '-C 2c 2'
loop_
_atom_site_label
_atom_site_type_symbol
_atom_site_fract_x
_atom_site_fract_y
_atom_site_fract_z
_atom_site_occupancy
Y1 Y 0.0000 0.0696 0.2500 1
Tm1 Tm 0.0000 0.3687 0.0183 1
Sn1 Sn 0.0000 0.1738 0.7500 1
```